First-principles (GGA-PBE) data for SrZn3Rh after structural relaxation, as listed in Alexandria.

The energy of formation from the pure elements is -0.2838 eV/atom.

It has space group Pnma (No. 62), with a = 5.9822 Å, b = 11.7035 Å, c = 5.5750 Å, α = 90.00°, β = 90.00° and γ = 90.00°. The asymmetric unit holds Sr at (0.0000, 0.0000, 0.0000), Zn at (0.0110, 0.1260, 0.4927), Zn at (0.1739, 0.2500, 0.8558) and Rh at (0.1659, 0.7500, 0.8398).

First-principles (GGA-PBE) data for ScZnInSi2 after structural relaxation, as listed in Alexandria.

The calculation puts the formation energy without anion corrections at 0.481 eV per atom.

It has space group P4/mmm (No. 123), with a = 4.7535 Å, b = 4.7535 Å, c = 5.2973 Å, α = 90.00°, β = 90.00° and γ = 90.00°. The asymmetric unit holds Sc at (0.0000, 0.0000, 0.0000), Zn at (0.0000, 0.0000, 0.5000), In at (0.5000, 0.5000, 0.0000) and Si at (0.0000, 0.5000, 0.5000).

First-principles (GGA-PBE) data for LiY4Ag2 after structural relaxation, as listed in Alexandria.

The energy of formation from the pure elements is -0.0674 eV/atom.

It has space group R-3m (No. 166, hexagonal axes), with a = 5.1248 Å, b = 5.1248 Å, c = 24.6210 Å, α = 90.00°, β = 90.00° and γ = 120.00°. The asymmetric unit holds Li at (0.0000, 0.0000, 0.0000), Y at (0.0000, 0.0000, 0.1297), Y at (0.0000, 0.0000, 0.3815) and Ag at (0.0000, 0.0000, 0.2554).

First-principles (GGA-PBE) data for Ba2BePt after structural relaxation, as listed in Alexandria.

The energy of formation from the pure elements is -0.0178 eV/atom.

It has space group P4/mmm (No. 123), with a = 3.9529 Å, b = 3.9529 Å, c = 7.7394 Å, α = 90.00°, β = 90.00° and γ = 90.00°. The asymmetric unit holds Ba at (0.0000, 0.0000, 0.2382), Be at (0.5000, 0.5000, 0.5000) and Pt at (0.5000, 0.5000, 0.0000).

First-principles (GGA-PBE) data for CaHg6Pd6 after structural relaxation, as listed in Alexandria.

The energy of formation from the pure elements is -0.3115 eV/atom.

It has space group Immm (No. 71), with a = 5.6786 Å, b = 9.2783 Å, c = 9.8282 Å, α = 90.00°, β = 90.00° and γ = 90.00°. The asymmetric unit holds Ca at (0.0000, 0.0000, 0.0000), Hg at (0.0000, 0.0000, 0.3393), Hg at (0.0000, 0.3304, 0.0000), Hg at (0.0000, 0.5000, 0.3251), Pd at (0.0000, 0.2575, 0.5000) and Pd at (0.2500, 0.2500, 0.2500).

First-principles (GGA-PBE) data for TbNdGaNi after structural relaxation, as listed in Alexandria.

The energy of formation from the pure elements is -0.3749 eV/atom.

It has space group F-43m (No. 216), with a = 7.1259 Å, b = 7.1259 Å, c = 7.1259 Å, α = 90.00°, β = 90.00° and γ = 90.00°. The asymmetric unit holds Tb at (0.0000, 0.0000, 0.0000), Nd at (0.0000, 0.0000, 0.5000), Ga at (0.2500, 0.2500, 0.7500) and Ni at (0.2500, 0.2500, 0.2500).

First-principles (GGA-PBE) data for Al2TeSe after structural relaxation, as listed in Alexandria.

The calculation puts the formation energy without anion corrections at -0.350 eV per atom.

It has space group R3m (No. 160, hexagonal axes), with a = 3.7641 Å, b = 3.7641 Å, c = 27.6181 Å, α = 90.00°, β = 90.00° and γ = 120.00°. The asymmetric unit holds Al at (0.0000, 0.0000, 0.0000), Al at (0.0000, 0.0000, 0.2539), Te at (0.0000, 0.0000, 0.5312) and Se at (0.0000, 0.0000, 0.7111).

First-principles (GGA-PBE) data for Li2LaCr after structural relaxation, as listed in Alexandria.

The energy of formation from the pure elements is 0.4761 eV/atom.

It has space group I-42d (No. 122), with a = 4.2418 Å, b = 4.2418 Å, c = 21.5844 Å, α = 90.00°, β = 90.00° and γ = 90.00°. The asymmetric unit holds Li at (0.1787, 0.7500, 0.1250), La at (0.0000, 0.0000, 0.5000) and Cr at (0.0000, 0.0000, 0.0000).

First-principles (GGA-PBE) data for CaBeRuO5 after structural relaxation, as listed in Alexandria.

The calculation puts the formation energy without anion corrections at -1.814 eV per atom.

It has space group C2/c (No. 15), with a = 6.4576 Å, b = 8.6625 Å, c = 7.1557 Å, α = 90.00°, β = 114.76° and γ = 90.00°. The asymmetric unit holds Ca at (0.0000, 0.1600, 0.2500), Be at (0.0000, 0.1911, 0.7500), Ru at (0.0000, 0.5000, 0.0000), O at (0.0000, 0.4244, 0.2500), O at (0.1028, 0.2946, 0.6178) and O at (0.1903, 0.0675, 0.9110).

First-principles (GGA-PBE) data for MgZrSc after structural relaxation, as listed in Alexandria.

The energy of formation from the pure elements is 0.1213 eV/atom.

It has space group P3m1 (No. 156), with a = 5.0809 Å, b = 5.0809 Å, c = 3.0703 Å, α = 90.00°, β = 90.00° and γ = 120.00°. The asymmetric unit holds Mg at (0.0000, 0.0000, 0.0000), Zr at (0.6667, 0.3333, 0.6790) and Sc at (0.3333, 0.6667, 0.2451).

First-principles (GGA-PBE) data for BaCuSi3 after structural relaxation, as listed in Alexandria.

The calculation puts the formation energy without anion corrections at 0.305 eV per atom.

It has space group Pm-3m (No. 221), with a = 4.7899 Å, b = 4.7899 Å, c = 4.7899 Å, α = 90.00°, β = 90.00° and γ = 90.00°. The asymmetric unit holds Ba at (0.0000, 0.0000, 0.0000), Cu at (0.5000, 0.5000, 0.5000) and Si at (0.0000, 0.5000, 0.5000).

First-principles (GGA-PBE) data for K2Ba2La after structural relaxation, as listed in Alexandria.

The energy of formation from the pure elements is 0.4821 eV/atom.

It has space group P4/mbm (No. 127), with a = 11.2233 Å, b = 11.2233 Å, c = 4.4050 Å, α = 90.00°, β = 90.00° and γ = 90.00°. The asymmetric unit holds K at (0.1572, 0.3428, 0.0000), Ba at (0.1460, 0.6460, 0.5000) and La at (0.0000, 0.0000, 0.5000).

First-principles (GGA-PBE) data for LaTi3Ge after structural relaxation, as listed in Alexandria.

The energy of formation from the pure elements is 1.2706 eV/atom.

It has space group Pm-3m (No. 221), with a = 4.7640 Å, b = 4.7640 Å, c = 4.7640 Å, α = 90.00°, β = 90.00° and γ = 90.00°. The asymmetric unit holds La at (0.0000, 0.0000, 0.0000), Ti at (0.0000, 0.0000, 0.5000) and Ge at (0.5000, 0.5000, 0.5000).

First-principles (GGA-PBE) data for ScAl2In after structural relaxation, as listed in Alexandria.

The energy of formation from the pure elements is -0.3429 eV/atom.

It has space group P4/mmm (No. 123), with a = 4.2754 Å, b = 4.2754 Å, c = 4.1918 Å, α = 90.00°, β = 90.00° and γ = 90.00°. The asymmetric unit holds Sc at (0.0000, 0.0000, 0.0000), Al at (0.0000, 0.5000, 0.5000) and In at (0.5000, 0.5000, 0.0000).

Looking at total moment for the records above, in order, we have 0.00; 0.00; 0.00; 0.00; 0.00; 0.00; 0.00; 0.96; 0.23; 0.00; 0.00; 0.43; 0.00; 0.00 μB per atom.